# RbV2CrO8

Crystalline RbV2CrO8 at its relaxed geometry (PBE with a Hubbard U, Alexandria via LeMat-Bulk).

Properties
* E_tot: -0.50805 Ry per atom

Lattice parameters (Å, degrees): 5.539 5.539 7.815 90.00 90.00 120.00
Atoms (fractional coordinates):
O 0.834 0.152 0.358
O 0.667 0.333 0.074
O 0.318 0.166 0.358
O 0.166 0.848 0.642
O 0.848 0.682 0.358
O 0.152 0.318 0.642
O 0.682 0.834 0.642
O 0.333 0.667 0.926
V 0.333 0.667 0.713
V 0.667 0.333 0.287
Rb 0.000 0.000 0.000
Cr 0.000 0.000 0.500